A relaxed structure of Nd2NpAs3. Source: Alexandria, functional PBE-GGA.

Values from the calculation:
Calculated density   7.835 g/cm3
Formation enthalpy at 0 K   -1.2180 eV per atom
DOS(E_F)   1.69 states/eV per atom
SG   I4/mmm (139)

Unit cell a=9.4136 b=9.4136 c=9.4136 alpha=154.09 beta=154.09 gamma=36.96
Sites, in units of the cell vectors:
Nd1 0.1675 0.1675 0.0000
Nd2 0.8325 0.8325 0.0000
Np1 0.5000 0.5000 0.0000
As1 0.0000 0.0000 0.0000
As2 0.3371 0.3371 0.0000
As3 0.6629 0.6629 0.0000